No. 1
This record from Alexandria describes a relaxed structure of TbPm2Nd4Dy2. The functional is PBE.

Calculated values
Symmetry: C2/m
Formation enthalpy at 0 K in eV/f.u.: 0.16
Total DFT energy (no corrections) in eV per atom: -4.69
Crystal system: monoclinic
Magnetic moment in μB/f.u.: 0.0

Cell and atoms, written as extended XYZ:
```
9
Lattice="7.7113 -2.5705 0.0000 7.7113 2.5705 0.0000 -2.5781 0.0000 7.6783" Properties=species:S:1:pos:R:3 pbc="T T T"
Tb 0.0000 0.0000 0.0000
Pm -0.0057 0.0000 5.1385
Pm 12.8503 0.0000 2.5398
Nd 2.5711 0.0000 2.5396
Nd 5.1397 0.0000 5.1378
Nd 7.7049 0.0000 2.5404
Nd 10.2735 0.0000 5.1387
Dy 5.1372 0.0000 0.0011
Dy 7.7074 0.0000 7.6772
```

---

No. 2
This record from Alexandria describes a relaxed structure of KPa2S7. The functional is PBE.

Calculated values
Symmetry: Cmmm
Total DFT energy (no corrections) in eV per atom: -6.01
Crystal system: orthorhombic
Magnetic moment in μB/f.u.: 0.0

Cell and atoms, written as extended XYZ:
```
10
Lattice="4.1201 -6.2627 0.0000 4.1201 6.2627 0.0000 0.0000 0.0000 5.2239" Properties=species:S:1:pos:R:3 pbc="T T T"
K 0.0000 0.0000 0.0000
Pa 4.1201 2.7054 2.6120
Pa 4.1201 -2.7054 2.6120
S 1.7600 1.5091 2.6120
S 4.1201 2.8013 0.0000
S 1.7600 -1.5091 2.6120
S 4.1201 0.0000 2.6120
S 6.4802 1.5091 2.6120
S 4.1201 -2.8013 0.0000
S 6.4802 -1.5091 2.6120
```